VASP calculation (PBE) on MgNbIn2 after structural relaxation.

E_form   0.4073 eV/atom
Volume   91.7 Å³ per cell

a b c (Å): 3.1437 3.1437 10.8656
angles (deg): 81.68 81.68 60.00
Fractional coordinates of all 4 atoms:
Mg: 0.5000 0.5000 0.5000
Nb: 0.0000 0.0000 0.0000
In: 0.0890 0.0890 0.7331
In: 0.9110 0.9110 0.2669